Version w
This record from the Alexandria database describes Pr2BiPb after structural relaxation. The functional is PBE.

Summary:
DOS(E_F) = 1.637 states/eV/atom

POSCAR file:
```
Pr2BiPb
1.0
0.0000 4.0006 4.0006
4.0006 0.0000 4.0006
4.0006 4.0006 0.0000
Pr Bi Pb
2 1 1
direct
0.2500 0.2500 0.2500
0.7500 0.7500 0.7500
0.0000 0.0000 0.0000
0.5000 0.5000 0.5000
```

Version x
This record from the Alexandria database describes Pr2BiPb after structural relaxation. The functional is PBE.

Summary:
DOS(E_F) = 1.102 states/eV/atom

POSCAR file:
```
Pr2BiPb
1.0
5.2081 0.0000 0.0000
0.0000 5.2081 0.0000
0.0000 0.0000 4.5864
Pr Bi Pb
2 1 1
direct
0.0000 0.5000 0.0000
0.5000 0.0000 0.0000
0.0000 0.0000 0.5000
0.5000 0.5000 0.5000
```

Version y
This record from the Alexandria database describes Pr2BiPb after structural relaxation. The functional is PBE.

Summary:
DOS(E_F) = 0.581 states/eV/atom

POSCAR file:
```
Pr2BiPb
1.0
2.2025 1.2716 8.4703
-2.2025 1.2716 8.4703
0.0000 -2.5432 8.4703
Pr Bi Pb
2 1 1
direct
0.0000 0.0000 0.0000
0.1761 0.1761 0.1761
0.5893 0.5893 0.5893
0.4202 0.4202 0.4202
```

Version z
This record from the Alexandria database describes Pr2BiPb after structural relaxation. The functional is PBE.

Summary:
DOS(E_F) = 0.467 states/eV/atom

POSCAR file:
```
Pr2BiPb
1.0
2.3538 -12.6191 0.0000
2.3538 12.6191 0.0000
0.0000 0.0000 4.5836
Pr Bi Pb
4 2 2
direct
0.0623 0.9377 0.7500
0.3161 0.6839 0.7500
0.6839 0.3161 0.2500
0.9377 0.0623 0.2500
0.1883 0.8117 0.7500
0.8117 0.1883 0.2500
0.4527 0.5473 0.7500
0.5473 0.4527 0.2500
```

Relative energies, in meV/atom, with the most stable structure set to zero: version w 221; version x 161; version y 173; version z 0.

Version w
This record from the Alexandria database describes Pr2BiPb after structural relaxation. The functional is PBE.

Summary:
DOS(E_F) = 1.158 states/eV/atom

POSCAR file:
```
Pr2BiPb
1.0
4.2523 0.0000 0.0000
0.0000 4.2523 0.0000
0.0000 0.0000 6.9663
Pr Bi Pb
2 1 1
direct
0.0000 0.0000 0.2492
0.0000 0.0000 0.7508
0.5000 0.5000 0.0000
0.5000 0.5000 0.5000
```

Version x
This record from the Alexandria database describes Pr2BiPb after structural relaxation. The functional is PBE.

Summary:
DOS(E_F) = 0.468 states/eV/atom

POSCAR file:
```
Pr2BiPb
1.0
2.2582 1.3038 7.9138
-2.2582 1.3038 7.9138
0.0000 -2.6075 7.9138
Pr Bi Pb
2 1 1
direct
0.2485 0.2485 0.2485
0.7515 0.7515 0.7515
0.5000 0.5000 0.5000
0.0000 0.0000 0.0000
```

Relative energies, in meV/atom, with the most stable structure set to zero: version w 66; version x 0.